Entry from Alexandria via LeMat-Bulk: a geometry-optimized La3CoBi structure (PBE-GGA).

Values from the calculation:
- Size of the total moment: 0.00 μB per formula unit
- Calculated volume: 30.46 Å³ per atom
- D(E_F): 0.68 states/eV per atom
- Formation energy: -0.49 eV/atom
- Relative energy among the computed polymorphs: 2 meV per atom

The structure in CIF format:
```
data_La3CoBi
_chemical_formula_sum 'La12 Co4 Bi4'
_symmetry_space_group_name_H-M 'P n m a'
_symmetry_Int_Tables_number 62
_cell_length_a 7.530
_cell_length_b 10.743
_cell_length_c 7.531
_cell_angle_alpha 90.00
_cell_angle_beta 90.00
_cell_angle_gamma 90.00
loop_
_symmetry_equiv_pos_as_xyz
'x,y,z'
'-x,-y,-z'
'-x+1/2,-y,z+1/2'
'x+1/2,y,-z+1/2'
'x+1/2,-y+1/2,-z+1/2'
'-x+1/2,y+1/2,z+1/2'
'-x,y+1/2,-z'
'x,-y+1/2,z'
loop_
_atom_site_label
_atom_site_type_symbol
_atom_site_fract_x
_atom_site_fract_y
_atom_site_fract_z
La1 La 0.000 0.250 0.001
La2 La 0.229 0.001 0.729
Co1 Co 0.000 0.000 0.000
Bi1 Bi 0.000 0.250 0.500
```